# LaSm2MoO8 GGA+U relaxed
data_LaSm2MoO8
_space_group_name_H-M_alt 'C m m m'
_space_group_IT_number 65
_space_group_name_Hall '-C 2 2'
_cell_length_a 7.243
_cell_length_b 7.315
_cell_length_c 7.116
_cell_angle_alpha 90.00
_cell_angle_beta 90.00
_cell_angle_gamma 90.00
loop_
_atom_site_label
_atom_site_type_symbol
_atom_site_fract_x
_atom_site_fract_y
_atom_site_fract_z
_atom_site_occupancy
La1 La 0.000 0.000 0.000 1
Sm1 Sm 0.000 0.500 0.258 1
Mo1 Mo 0.000 0.000 0.500 1
O1 O 0.000 0.181 0.299 1
O2 O 0.187 0.500 0.000 1
O3 O 0.230 0.500 0.500 1
# - Total moment: 1.74 μB/cell
# - Crystal system: orthorhombic
# - Energy: -185.05 eV per cell